## 1
A plane-wave DFT calculation with SCAN was carried out for a PBEsol-optimized structure of CsTl2Pb2.

Output
Symmetry: P4/mbm

Cell and atoms, written as CIF:
```
data_CsTl2Pb2
_chemical_formula_sum 'Cs2 Tl4 Pb4'
_cell_length_a 3.544
_cell_length_b 9.704
_cell_length_c 9.704
_cell_angle_alpha 90.00
_cell_angle_beta 90.00
_cell_angle_gamma 90.00
_symmetry_space_group_name_H-M 'P 1'
_symmetry_Int_Tables_number 1
_symmetry_space_group_name_Hall 'P 1'
loop_
_atom_site_label
_atom_site_type_symbol
_atom_site_fract_x
_atom_site_fract_y
_atom_site_fract_z
Cs1 Cs 0.000 0.000 0.000
Cs2 Cs 0.000 0.500 0.500
Tl1 Tl 0.500 0.659 0.841
Tl2 Tl 0.500 0.841 0.341
Tl3 Tl 0.500 0.159 0.659
Tl4 Tl 0.500 0.341 0.159
Pb1 Pb 0.000 0.373 0.873
Pb2 Pb 0.000 0.873 0.627
Pb3 Pb 0.000 0.127 0.373
Pb4 Pb 0.000 0.627 0.127
```

***

## 2
A plane-wave DFT calculation with SCAN was carried out for a PBEsol-optimized structure of CsTl2Pb2.

Output
Symmetry: I4/mmm

Cell and atoms, written as CIF:
```
data_CsTl2Pb2
_chemical_formula_sum 'Cs1 Tl2 Pb2'
_cell_length_a 5.464
_cell_length_b 5.464
_cell_length_c 7.161
_cell_angle_alpha 112.43
_cell_angle_beta 112.43
_cell_angle_gamma 90.00
_symmetry_space_group_name_H-M 'P 1'
_symmetry_Int_Tables_number 1
_symmetry_space_group_name_Hall 'P 1'
loop_
_atom_site_label
_atom_site_type_symbol
_atom_site_fract_x
_atom_site_fract_y
_atom_site_fract_z
Pb1 Pb 0.626 0.626 0.251
Pb2 Pb 0.374 0.374 0.749
Tl1 Tl 0.250 0.750 0.500
Tl2 Tl 0.750 0.250 0.500
Cs1 Cs 0.000 0.000 0.000
```

***

Stability ranking, top and bottom: 2 is the most stable and 1 is the least stable.